VASP calculation (GGA-PBE) on a geometry-optimized Sr2TmSi3Pt4 structure.

**Magnetic moment**: 0.00 μB/f.u.
**Final energy**: -57.9 eV per formula unit
**Crystal system**: tetragonal
**Volume**: 202 Å³/cell

abc: 4.3566 4.3566 10.6452
angles: 90.00 90.00 90.00
Closest atoms and distances in Å follow each position.
Space group P-4m2 (No. 115)
Asymmetric unit:
Sr 0.0000 0.5000 0.2347 x2  8 Pt 3.29-3.31, 6 Si 3.33-3.57, 2 Tm 3.57
Tm 0.0000 0.0000 0.5000 x1  4 Pt 2.74
Si 0.0000 0.5000 0.8848 x2  5 Pt 2.43-2.50
Si 0.5000 0.5000 0.5000 x1  4 Pt 2.74
Pt 0.0000 0.0000 0.0000 x1  4 Si 2.50
Pt 0.0000 0.5000 0.6567 x2  1 Si 2.43
Pt 0.5000 0.5000 0.0000 x1  4 Si 2.50

=====

VASP calculation (GGA-PBE) on a geometry-optimized SrUSi2Pt4 structure.

**Magnetic moment**: 2.04 μB/f.u.
**Final energy**: -53.5 eV per formula unit
**Crystal system**: tetragonal
**Volume**: 162 Å³/cell

abc: 4.3668 4.3668 8.4988
angles: 90.00 90.00 90.00
Closest atoms and distances in Å follow each position.
Space group P4/mmm (No. 123)
Asymmetric unit:
Sr 0.0000 0.0000 0.0000 x1  8 Pt 3.24, 8 Si 3.34
U 0.0000 0.0000 0.5000 x1  8 Pt 2.87
Si 0.5000 0.5000 0.1512 x2  4 Pt 2.45, 1 Si 2.57
Pt 0.0000 0.5000 0.2815 x4  2 Si 2.45

=====

VASP calculation (GGA-PBE) on a geometry-optimized Sr2USi3Pt4 structure.

**Magnetic moment**: 2.54 μB/f.u.
**Final energy**: -62.9 eV per formula unit
**Crystal system**: tetragonal
**Volume**: 205 Å³/cell

abc: 4.3453 4.3453 10.8366
angles: 90.00 90.00 90.00
Closest atoms and distances in Å follow each position.
Space group P-4m2 (No. 115)
Asymmetric unit:
Sr 0.0000 0.5000 0.2317 x2  8 Pt 3.28-3.32, 6 Si 3.33-3.63, 2 U 3.63
U 0.0000 0.0000 0.5000 x1  4 Pt 2.79, 4 Si 3.07
Si 0.0000 0.5000 0.8866 x2  5 Pt 2.44-2.50
Si 0.5000 0.5000 0.5000 x1  4 Pt 2.79, 4 U 3.07
Pt 0.0000 0.0000 0.0000 x1  4 Si 2.50
Pt 0.0000 0.5000 0.6618 x2  1 Si 2.44
Pt 0.5000 0.5000 0.0000 x1  4 Si 2.50

=====

VASP calculation (GGA-PBE) on a geometry-optimized SrUSi2Pt5 structure.

**Magnetic moment**: 1.90 μB/f.u.
**Final energy**: -60.4 eV per formula unit
**Crystal system**: tetragonal
**Volume**: 195 Å³/cell

abc: 4.2446 4.2446 10.7968
angles: 90.00 90.00 90.00
Closest atoms and distances in Å follow each position.
Space group P4/mmm (No. 123)
Asymmetric unit:
Sr 0.0000 0.0000 0.0000 x1  4 Pt 3.00
U 0.0000 0.0000 0.5000 x1  8 Pt 2.87
Si 0.5000 0.5000 0.2162 x2  5 Pt 2.33-2.40
Pt 0.0000 0.5000 0.3209 x4  2 Si 2.40
Pt 0.5000 0.5000 0.0000 x1  2 Si 2.33

=====

VASP calculation (GGA-PBE) on a geometry-optimized Sr2USi3Pt12 structure.

**Magnetic moment**: 0.03 μB/f.u.
**Final energy**: -111.4 eV per formula unit
**Crystal system**: trigonal
**Volume**: 1129 Å³/cell

abc: 8.2571 8.2571 19.1134
angles: 90.00 90.00 120.00
Closest atoms and distances in Å follow each position.
Space group R-3m (No. 166, hexagonal axes)
Asymmetric unit:
Sr 0.0000 0.0000 0.1002 x6  6 Pt 2.96-3.08
U 0.0000 0.0000 0.5000 x3  6 Pt 2.61
Si 0.0000 0.5000 0.0000 x9  6 Pt 2.34-2.40
Pt 0.0138 0.5069 0.8748 x18  1 Si 2.40, 1 U 2.61
Pt 0.0404 0.5202 0.3670 x18  2 Si 2.34

=====

VASP calculation (GGA-PBE) on a geometry-optimized SrYSi2Pt5 structure.

**Magnetic moment**: 0.00 μB/f.u.
**Final energy**: -57.3 eV per formula unit
**Crystal system**: tetragonal
**Volume**: 192 Å³/cell

abc: 4.1336 4.1336 11.2382
angles: 90.00 90.00 90.00
Closest atoms and distances in Å follow each position.
Space group P4/mmm (No. 123)
Asymmetric unit:
Sr 0.0000 0.0000 0.0000 x1  4 Pt 2.92
Y 0.0000 0.0000 0.5000 x1  8 Pt 2.95
Si 0.5000 0.5000 0.2086 x2  5 Pt 2.34-2.38
Pt 0.0000 0.5000 0.3129 x4  2 Si 2.38
Pt 0.5000 0.5000 0.0000 x1  2 Si 2.34

=====

VASP calculation (GGA-PBE) on a geometry-optimized Sr2ZnSiPt6 structure.

**Magnetic moment**: 0.00 μB/f.u.
**Final energy**: -53.3 eV per formula unit
**Crystal system**: triclinic
**Volume**: 210 Å³/cell

abc: 5.6093 6.5721 6.9174
angles: 74.72 66.13 64.83
Closest atoms and distances in Å follow each position.
Space group P-1 (No. 2)
Asymmetric unit:
Sr 0.2330 0.2214 0.3116 x2  9 Pt 3.19-3.47, 2 Zn 3.53
Zn 0.5000 0.5000 0.5000 x1  6 Pt 2.59-2.62
Si 0.0000 0.0000 0.0000 x1  6 Pt 2.38-2.48
Pt 0.2423 0.2473 0.7837 x2  1 Si 2.38, 1 Zn 2.59
Pt 0.2497 0.6134 0.8880 x2  1 Si 2.48, 1 Zn 2.62, 4 Pt 2.71-2.74
Pt 0.2736 0.7526 0.2164 x2  1 Si 2.39, 1 Zn 2.59

=====

VASP calculation (GGA-PBE) on a geometry-optimized Sr2Zn4Si3Pt structure.

**Magnetic moment**: 0.00 μB/f.u.
**Final energy**: -34.5 eV per formula unit
**Crystal system**: tetragonal
**Volume**: 194 Å³/cell

abc: 4.2606 4.2606 10.6890
angles: 90.00 90.00 90.00
Closest atoms and distances in Å follow each position.
Space group P-4m2 (No. 115)
Asymmetric unit:
Sr 0.0000 0.5000 0.2502 x2  8 Zn 3.25-3.42, 6 Si 3.26-3.42, 2 Pt 3.42
Zn 0.0000 0.0000 0.0000 x1  4 Si 2.56
Zn 0.0000 0.5000 0.6350 x2  3 Si 2.48-2.57, 2 Pt 2.57
Zn 0.5000 0.5000 0.0000 x1  4 Si 2.56
Si 0.0000 0.5000 0.8668 x2  5 Zn 2.48-2.56
Si 0.5000 0.5000 0.5000 x1  4 Zn 2.57
Pt 0.0000 0.0000 0.5000 x1  4 Zn 2.57